Computed, not measured: an optimized crystal structure of Ti2V3P2 at the PBE level of DFT.

Computed properties:
calculated formation energy	-18.651	kcal/mol of atoms
magnetic moment	0.000	μB per cell

Structure (CIF):
```
data_Ti2V3P2
_chemical_formula_sum 'Ti2 V3 P2'
_cell_length_a 3.352
_cell_length_b 4.887
_cell_length_c 6.804
_cell_angle_alpha 110.29
_cell_angle_beta 90.00
_cell_angle_gamma 110.06
_symmetry_space_group_name_H-M 'P 1'
_symmetry_Int_Tables_number 1
_symmetry_space_group_name_Hall 'P 1'
loop_
_atom_site_label
_atom_site_type_symbol
_atom_site_fract_x
_atom_site_fract_y
_atom_site_fract_z
Ti1 Ti 0.868 0.736 0.198
V1 V 0.627 0.255 0.440
P1 P 0.833 0.665 0.785
V2 V 0.500 0.000 0.000
V3 V 0.373 0.745 0.560
Ti2 Ti 0.132 0.264 0.802
P2 P 0.167 0.335 0.215
```


Computed, not measured: an optimized crystal structure of TiV2P at the PBE level of DFT.

Computed properties:
calculated formation energy	-13.456	kcal/mol of atoms
magnetic moment	0.000	μB per cell

Structure (CIF):
```
data_TiV2P
_chemical_formula_sum 'Ti2 V4 P2'
_cell_length_a 3.140
_cell_length_b 3.927
_cell_length_c 9.168
_cell_angle_alpha 90.00
_cell_angle_beta 99.86
_cell_angle_gamma 90.00
_symmetry_space_group_name_H-M 'P 1'
_symmetry_Int_Tables_number 1
_symmetry_space_group_name_Hall 'P 1'
loop_
_atom_site_label
_atom_site_type_symbol
_atom_site_fract_x
_atom_site_fract_y
_atom_site_fract_z
P1 P 0.156 0.250 0.312
P2 P 0.844 0.750 0.688
V1 V 0.022 0.250 0.044
V2 V 0.245 0.750 0.489
Ti1 Ti 0.614 0.750 0.228
V3 V 0.755 0.250 0.511
Ti2 Ti 0.386 0.250 0.772
V4 V 0.978 0.750 0.956
```


Computed, not measured: an optimized crystal structure of TiVP2 at the PBE level of DFT.

Computed properties:
calculated formation energy	-20.572	kcal/mol of atoms
magnetic moment	0.000	μB per cell
offset from the most stable computed form	0.789	kcal/mol of atoms

Structure (CIF):
```
data_TiVP2
_chemical_formula_sum 'Ti1 V1 P2'
_cell_length_a 3.427
_cell_length_b 3.427
_cell_length_c 6.075
_cell_angle_alpha 73.61
_cell_angle_beta 73.61
_cell_angle_gamma 60.00
_symmetry_space_group_name_H-M 'P 1'
_symmetry_Int_Tables_number 1
_symmetry_space_group_name_Hall 'P 1'
loop_
_atom_site_label
_atom_site_type_symbol
_atom_site_fract_x
_atom_site_fract_y
_atom_site_fract_z
P1 P 0.247 0.247 0.260
P2 P 0.087 0.087 0.739
Ti1 Ti 0.672 0.672 0.984
V1 V 0.494 0.494 0.517
```


Computed, not measured: an optimized crystal structure of Ti4VP2 at the PBE level of DFT.

Computed properties:
calculated formation energy	-12.684	kcal/mol of atoms
magnetic moment	0.000	μB per cell

Structure (CIF):
```
data_Ti4VP2
_chemical_formula_sum 'Ti4 V1 P2'
_cell_length_a 4.255
_cell_length_b 4.255
_cell_length_c 7.574
_cell_angle_alpha 73.68
_cell_angle_beta 73.68
_cell_angle_gamma 60.00
_symmetry_space_group_name_H-M 'P 1'
_symmetry_Int_Tables_number 1
_symmetry_space_group_name_Hall 'P 1'
loop_
_atom_site_label
_atom_site_type_symbol
_atom_site_fract_x
_atom_site_fract_y
_atom_site_fract_z
Ti1 Ti 0.119 0.119 0.643
V1 V 0.500 0.500 0.500
Ti2 Ti 0.881 0.881 0.357
P1 P 0.393 0.393 0.821
Ti3 Ti 0.720 0.720 0.841
P2 P 0.607 0.607 0.179
Ti4 Ti 0.280 0.280 0.159
```


Computed, not measured: an optimized crystal structure of TiVP at the PBE level of DFT.

Computed properties:
calculated formation energy	-17.359	kcal/mol of atoms
magnetic moment	0.000	μB per cell

Structure (CIF):
```
data_TiVP
_chemical_formula_sum 'Ti4 V4 P4'
_cell_length_a 5.957
_cell_length_b 3.301
_cell_length_c 8.759
_cell_angle_alpha 90.00
_cell_angle_beta 98.92
_cell_angle_gamma 90.00
_symmetry_space_group_name_H-M 'P 1'
_symmetry_Int_Tables_number 1
_symmetry_space_group_name_Hall 'P 1'
loop_
_atom_site_label
_atom_site_type_symbol
_atom_site_fract_x
_atom_site_fract_y
_atom_site_fract_z
Ti1 Ti 0.464 0.500 0.588
Ti2 Ti 0.168 0.000 0.349
P1 P 0.008 0.500 0.543
V1 V 0.713 0.500 0.926
Ti3 Ti 0.464 0.000 0.088
P2 P 0.008 0.000 0.043
V2 V 0.833 0.000 0.712
V3 V 0.713 0.000 0.426
V4 V 0.833 0.500 0.212
P3 P 0.456 0.500 0.297
Ti4 Ti 0.168 0.500 0.849
P4 P 0.456 0.000 0.797
```


Computed, not measured: an optimized crystal structure of TiVP at the PBE level of DFT.

Computed properties:
calculated formation energy	-15.271	kcal/mol of atoms
magnetic moment	0.000	μB per cell

Structure (CIF):
```
data_TiVP
_chemical_formula_sum 'Ti4 V4 P4'
_cell_length_a 5.021
_cell_length_b 7.880
_cell_length_c 4.626
_cell_angle_alpha 90.00
_cell_angle_beta 116.71
_cell_angle_gamma 90.00
_symmetry_space_group_name_H-M 'P 1'
_symmetry_Int_Tables_number 1
_symmetry_space_group_name_Hall 'P 1'
loop_
_atom_site_label
_atom_site_type_symbol
_atom_site_fract_x
_atom_site_fract_y
_atom_site_fract_z
Ti1 Ti 0.750 0.047 0.250
Ti2 Ti 0.250 0.453 0.250
V1 V 0.750 0.212 0.750
P1 P 0.750 0.877 0.750
P2 P 0.750 0.377 0.250
V2 V 0.250 0.788 0.250
Ti3 Ti 0.250 0.953 0.750
Ti4 Ti 0.750 0.547 0.750
P3 P 0.250 0.123 0.250
P4 P 0.250 0.623 0.750
V3 V 0.750 0.712 0.250
V4 V 0.250 0.288 0.750
```


Look up the magnetic moment of the third one.
0.000 μB per cell


The lowest calculated formation energy belongs to which entry?
TiVP2